The following is a DFT calculation (GGA-PBE) of an optimized crystal structure of MgSc2Cl.

Offset from the most stable computed form: 87 meV/atom
Spin magnetization: 0.00 μB/atom
Formation energy (no corrections): -2.087 eV per formula unit

Lattice parameters (Å, degrees): 3.333 3.522 7.955 90.00 90.00 90.00
Space group Pmmm (No. 47)
Symmetry-distinct sites (fractional):
1 Mg 0.000 0.000 0.000
2 Sc 0.500 0.500 0.240
3 Cl 0.000 0.500 0.500